Entry 1:
Tb2Cd6In5 after structural relaxation, computed with PBE.

Geometry as CIF:
```
data_Tb2Cd6In5
_cell_length_a 8.9229
_cell_length_b 8.9229
_cell_length_c 21.5995
_cell_angle_alpha 90.00
_cell_angle_beta 90.00
_cell_angle_gamma 120.00
_symmetry_space_group_name_H-M 'R -3 m'
_symmetry_Int_Tables_number 166
_symmetry_space_group_name_Hall '-R 3 2"'
loop_
_atom_site_label
_atom_site_type_symbol
_atom_site_fract_x
_atom_site_fract_y
_atom_site_fract_z
Tb1 Tb 0.0000 0.0000 0.1403
Cd1 Cd 0.0000 0.3227 0.5000
In1 In 0.0000 0.0000 0.0000
In2 In 0.0000 0.0000 0.2809
In3 In 0.0000 0.0000 0.4232
```

Values from the calculation:
Final energy   -74.720 eV per cell
Density of states at the Fermi level   38.32 states/eV/cell


Entry 2:
CsSc2Te2 after structural relaxation, computed with PBE.

Geometry as CIF:
```
data_CsSc2Te2
_cell_length_a 4.5994
_cell_length_b 4.5994
_cell_length_c 16.5828
_cell_angle_alpha 90.00
_cell_angle_beta 90.00
_cell_angle_gamma 90.00
_symmetry_space_group_name_H-M 'I 4/m m m'
_symmetry_Int_Tables_number 139
_symmetry_space_group_name_Hall '-I 4 2'
loop_
_atom_site_label
_atom_site_type_symbol
_atom_site_fract_x
_atom_site_fract_y
_atom_site_fract_z
Cs1 Cs 0.0000 0.0000 0.0000
Sc1 Sc 0.0000 0.5000 0.2500
Te1 Te 0.0000 0.0000 0.3617
```

Values from the calculation:
ΔE_f (raw)   -920.8 meV per atom
Density of states at the Fermi level   6.47 states/eV/cell


Entry 3:
FeOsC after structural relaxation, computed with PBE.

Geometry as CIF:
```
data_FeOsC
_cell_length_a 4.7184
_cell_length_b 2.7612
_cell_length_c 5.0955
_cell_angle_alpha 90.00
_cell_angle_beta 107.93
_cell_angle_gamma 90.00
_symmetry_space_group_name_H-M 'P 1 m 1'
_symmetry_Int_Tables_number 6
loop_
_symmetry_equiv_pos_as_xyz
'x,y,z'
'x,-y,z'
loop_
_atom_site_label
_atom_site_type_symbol
_atom_site_fract_x
_atom_site_fract_y
_atom_site_fract_z
Fe1 Fe 0.0000 0.0000 0.0000
Fe2 Fe 0.3133 0.5000 0.4549
Os1 Os 0.5020 0.5000 0.0019
Os2 Os 0.8127 0.0000 0.4499
C1 C 0.2370 0.0000 0.7123
C2 C 0.7380 0.5000 0.7244
```

Values from the calculation:
Final energy   -55.826 eV per cell
Density of states at the Fermi level   4.48 states/eV/cell


Entry 4:
TlSi2Au2 after structural relaxation, computed with PBE.

Geometry as CIF:
```
data_TlSi2Au2
_cell_length_a 7.9050
_cell_length_b 7.9050
_cell_length_c 3.1624
_cell_angle_alpha 90.00
_cell_angle_beta 90.00
_cell_angle_gamma 90.00
_symmetry_space_group_name_H-M 'P 4/m b m'
_symmetry_Int_Tables_number 127
_symmetry_space_group_name_Hall '-P 4 2ab'
loop_
_atom_site_label
_atom_site_type_symbol
_atom_site_fract_x
_atom_site_fract_y
_atom_site_fract_z
Tl1 Tl 0.0000 0.0000 0.0000
Si1 Si 0.1127 0.3873 0.0000
Au1 Au 0.1844 0.6844 0.5000
```

Values from the calculation:
ΔE_f (raw)   284.3 meV per atom
Density of states at the Fermi level   1.45 states/eV/cell


Entry 5:
TlCdClF2 after structural relaxation, computed with PBE.

Geometry as CIF:
```
data_TlCdClF2
_cell_length_a 4.5183
_cell_length_b 4.5183
_cell_length_c 5.3137
_cell_angle_alpha 90.00
_cell_angle_beta 90.00
_cell_angle_gamma 90.00
_symmetry_space_group_name_H-M 'P 4/m m m'
_symmetry_Int_Tables_number 123
_symmetry_space_group_name_Hall '-P 4 2'
loop_
_atom_site_label
_atom_site_type_symbol
_atom_site_fract_x
_atom_site_fract_y
_atom_site_fract_z
Tl1 Tl 0.0000 0.0000 0.0000
Cd1 Cd 0.5000 0.5000 0.5000
Cl1 Cl 0.5000 0.5000 0.0000
F1 F 0.0000 0.5000 0.5000
```

Values from the calculation:
ΔE_f (raw)   -1674.5 meV per atom
Density of states at the Fermi level   0.00 states/eV/cell


Entry 6:
ScVGa2Os after structural relaxation, computed with PBE.

Geometry as CIF:
```
data_ScVGa2Os
_cell_length_a 4.8189
_cell_length_b 4.8189
_cell_length_c 4.0909
_cell_angle_alpha 90.00
_cell_angle_beta 90.00
_cell_angle_gamma 90.00
_symmetry_space_group_name_H-M 'P 4/m m m'
_symmetry_Int_Tables_number 123
_symmetry_space_group_name_Hall '-P 4 2'
loop_
_atom_site_label
_atom_site_type_symbol
_atom_site_fract_x
_atom_site_fract_y
_atom_site_fract_z
Sc1 Sc 0.0000 0.0000 0.0000
V1 V 0.0000 0.0000 0.5000
Ga1 Ga 0.0000 0.5000 0.0000
Os1 Os 0.5000 0.5000 0.5000
```

Values from the calculation:
Final energy   -24.246 eV per cell
Density of states at the Fermi level   4.74 states/eV/cell


Entry 7:
Lu2SnH after structural relaxation, computed with PBE.

Geometry as CIF:
```
data_Lu2SnH
_cell_length_a 4.6843
_cell_length_b 4.6843
_cell_length_c 19.6569
_cell_angle_alpha 90.00
_cell_angle_beta 90.00
_cell_angle_gamma 120.00
_symmetry_space_group_name_H-M 'R -3 m'
_symmetry_Int_Tables_number 166
_symmetry_space_group_name_Hall '-R 3 2"'
loop_
_atom_site_label
_atom_site_type_symbol
_atom_site_fract_x
_atom_site_fract_y
_atom_site_fract_z
Lu1 Lu 0.0000 0.0000 0.1026
Sn1 Sn 0.0000 0.0000 0.5000
H1 H 0.0000 0.0000 0.0000
```

Values from the calculation:
Final energy   -50.928 eV per cell
Density of states at the Fermi level   11.36 states/eV/cell


Entry 8:
ZnIn4Ag15 after structural relaxation, computed with PBE.

Geometry as CIF:
```
data_ZnIn4Ag15
_cell_length_a 4.2928
_cell_length_b 4.2928
_cell_length_c 20.0797
_cell_angle_alpha 90.00
_cell_angle_beta 90.00
_cell_angle_gamma 90.00
_symmetry_space_group_name_H-M 'P 4/m m m'
_symmetry_Int_Tables_number 123
_symmetry_space_group_name_Hall '-P 4 2'
loop_
_atom_site_label
_atom_site_type_symbol
_atom_site_fract_x
_atom_site_fract_y
_atom_site_fract_z
Zn1 Zn 0.0000 0.0000 0.0000
In1 In 0.0000 0.0000 0.1942
In2 In 0.0000 0.0000 0.3982
Ag1 Ag 0.0000 0.5000 0.0928
Ag2 Ag 0.0000 0.5000 0.2961
Ag3 Ag 0.0000 0.5000 0.5000
Ag4 Ag 0.5000 0.5000 0.0000
Ag5 Ag 0.5000 0.5000 0.1945
Ag6 Ag 0.5000 0.5000 0.3982
```

Values from the calculation:
Final energy   -55.492 eV per cell
Density of states at the Fermi level   2.94 states/eV/cell


Entry 9:
SrCaPb2Br8 after structural relaxation, computed with PBE.

Geometry as CIF:
```
data_SrCaPb2Br8
_cell_length_a 6.8487
_cell_length_b 9.1396
_cell_length_c 7.1949
_cell_angle_alpha 90.00
_cell_angle_beta 90.40
_cell_angle_gamma 90.00
_symmetry_space_group_name_H-M 'P 1 2/m 1'
_symmetry_Int_Tables_number 10
loop_
_symmetry_equiv_pos_as_xyz
'x,y,z'
'-x,-y,-z'
'-x,y,-z'
'x,-y,z'
loop_
_atom_site_label
_atom_site_type_symbol
_atom_site_fract_x
_atom_site_fract_y
_atom_site_fract_z
Sr1 Sr 0.0000 0.0000 0.0000
Ca1 Ca 0.0000 0.5000 0.0000
Pb1 Pb 0.5000 0.2553 0.5000
Br1 Br 0.2337 0.2607 0.1547
Br2 Br 0.2530 0.5000 0.6680
Br3 Br 0.2631 0.0000 0.6557
```

Values from the calculation:
ΔE_f (raw)   -1481.6 meV per atom
Density of states at the Fermi level   0.00 states/eV/cell


Entry 10:
Ti2CdSnH after structural relaxation, computed with PBE.

Geometry as CIF:
```
data_Ti2CdSnH
_cell_length_a 4.1447
_cell_length_b 4.1447
_cell_length_c 4.4821
_cell_angle_alpha 90.00
_cell_angle_beta 90.00
_cell_angle_gamma 90.00
_symmetry_space_group_name_H-M 'P 4/m m m'
_symmetry_Int_Tables_number 123
_symmetry_space_group_name_Hall '-P 4 2'
loop_
_atom_site_label
_atom_site_type_symbol
_atom_site_fract_x
_atom_site_fract_y
_atom_site_fract_z
Ti1 Ti 0.0000 0.5000 0.0000
Cd1 Cd 0.0000 0.0000 0.5000
Sn1 Sn 0.5000 0.5000 0.5000
H1 H 0.0000 0.0000 0.0000
```

Values from the calculation:
Final energy   -24.857 eV per cell
Density of states at the Fermi level   1.47 states/eV/cell


Entry 11:
NaCe2F6 after structural relaxation, computed with PBE.

Geometry as CIF:
```
data_NaCe2F6
_cell_length_a 5.5581
_cell_length_b 6.5597
_cell_length_c 9.2277
_cell_angle_alpha 90.00
_cell_angle_beta 122.95
_cell_angle_gamma 90.00
_symmetry_space_group_name_H-M 'P 1 21/c 1'
_symmetry_Int_Tables_number 14
loop_
_symmetry_equiv_pos_as_xyz
'x,y,z'
'-x,-y,-z'
'-x,y+1/2,-z+1/2'
'x,-y+1/2,z+1/2'
loop_
_atom_site_label
_atom_site_type_symbol
_atom_site_fract_x
_atom_site_fract_y
_atom_site_fract_z
Na1 Na 0.0000 0.0000 0.0000
Ce1 Ce 0.2898 0.1157 0.7446
F1 F 0.0849 0.0669 0.2556
F2 F 0.2104 0.6888 0.0657
F3 F 0.3927 0.1562 0.0578
```

Values from the calculation:
ΔE_f (raw)   -3420.7 meV per atom
Density of states at the Fermi level   29.42 states/eV/cell


Entry 12:
Ba5Cd2Sb4O2 after structural relaxation, computed with PBE.

Geometry as CIF:
```
data_Ba5Cd2Sb4O2
_cell_length_a 17.5287
_cell_length_b 4.9958
_cell_length_c 12.4327
_cell_angle_alpha 90.00
_cell_angle_beta 132.38
_cell_angle_gamma 90.00
_symmetry_space_group_name_H-M 'C 1 2/m 1'
_symmetry_Int_Tables_number 12
loop_
_symmetry_equiv_pos_as_xyz
'x,y,z'
'-x,-y,-z'
'-x,y,-z'
'x,-y,z'
'x+1/2,y+1/2,z'
'-x+1/2,-y+1/2,-z'
'-x+1/2,y+1/2,-z'
'x+1/2,-y+1/2,z'
loop_
_atom_site_label
_atom_site_type_symbol
_atom_site_fract_x
_atom_site_fract_y
_atom_site_fract_z
Ba1 Ba 0.0000 0.0000 0.0000
Ba2 Ba 0.0249 0.0000 0.7027
Ba3 Ba 0.1996 0.5000 0.3480
Cd1 Cd 0.2387 0.5000 0.8772
Sb1 Sb 0.1068 0.5000 0.5661
Sb2 Sb 0.1347 0.5000 0.9903
O1 O 0.1274 0.0000 0.3076
```

Values from the calculation:
ΔE_f (raw)   -1306.1 meV per atom
Density of states at the Fermi level   2.66 states/eV/cell